Below is a relaxed structure of LiPuPbO4, with properties calculated at the PBE-GGA level.

The symmetry is Imma, No. 74. The spin magnetization comes out at 3.0 μB/f.u. Its formation energy without anion corrections is -2119 meV/atom.

Cell lengths 7.539, 6.565, 6.979 Å; angles 122.11, 90.00, 125.04 degrees
Each line ends with the local moment (μB).
Positions (direct):
O: 0.252 0.504 0.730  -0.10
O: 0.252 0.504 0.274  -0.10
O: 0.321 0.008 0.254  -0.09
O: 0.748 0.496 0.726  -0.10
O: 0.688 0.008 0.254  -0.09
O: 0.679 0.992 0.746  -0.09
O: 0.748 0.496 0.270  -0.10
O: 0.312 0.992 0.746  -0.09
Pu: 0.500 0.000 0.500  3.40
Pu: 0.500 0.000 0.000  3.40
Pb: 0.920 0.839 0.170  -0.01
Pb: 0.080 0.161 0.830  -0.01
Li: 0.500 0.500 0.500  0.00
Li: 0.000 0.500 0.500  0.00


Below is a relaxed structure of Li2PuPbO8, with properties calculated at the PBE-GGA level.

The symmetry is I-4m2, No. 119. The spin magnetization comes out at 0.1 μB/f.u. Its formation energy without anion corrections is -1394 meV/atom.

Cell lengths 6.121, 6.121, 6.121 Å; angles 114.80, 114.80, 99.27 degrees
Each line ends with the local moment (μB).
Positions (direct):
O: 0.275 0.066 0.791  0.01
O: 0.640 0.031 0.610  0.03
O: 0.969 0.579 0.610  0.03
O: 0.275 0.483 0.209  0.01
O: 0.517 0.725 0.791  0.01
O: 0.421 0.031 0.390  0.03
O: 0.934 0.725 0.209  0.01
O: 0.969 0.360 0.390  0.03
Li: 0.500 0.500 0.000  0.00
Li: 0.750 0.250 0.500  0.00
Pb: 0.000 0.000 0.000  0.00
Pu: 0.250 0.750 0.500  -0.13